1.
Entry from Alexandria via LeMat-Bulk: a relaxed structure of TbSmCdIn (PBE-GGA).

Cell lengths 5.368, 5.368, 5.368 Å; angles 60.00, 60.00, 60.00 degrees
Fractional positions:
Tb  0.000  0.000  0.000
Sm  0.500  0.500  0.500
Cd  0.750  0.750  0.750
In  0.250  0.250  0.250

Computed properties:
- DFT total energy (eV/atom) = -3.665
- crystal system = cubic
- total magnetic moment (μB/atom) = 0.00
- energy of formation (eV/atom) = -0.415
- Fermi-level density of states (states/eV per cell) = 4.1

2.
Entry from Alexandria via LeMat-Bulk: a relaxed structure of PmLuCdCo (PBE-GGA).

Cell lengths 5.049, 5.049, 5.049 Å; angles 60.00, 60.00, 60.00 degrees
Fractional positions:
Pm  0.000  0.000  0.000
Lu  0.500  0.500  0.500
Cd  0.250  0.250  0.250
Co  0.750  0.750  0.750

Computed properties:
- DFT total energy (eV/atom) = -4.436
- crystal system = cubic
- total magnetic moment (μB/atom) = 0.11
- energy of formation (eV/atom) = -0.113
- Fermi-level density of states (states/eV per cell) = 2.2

3.
Entry from Alexandria via LeMat-Bulk: a relaxed structure of K2BSb (PBE-GGA).

Cell lengths 5.631, 5.631, 5.631 Å; angles 60.00, 60.00, 60.00 degrees
Fractional positions:
K  0.250  0.250  0.250
K  0.750  0.750  0.750
B  0.000  0.000  0.000
Sb  0.500  0.500  0.500

Computed properties:
- DFT total energy (eV/atom) = -2.372
- crystal system = cubic
- total magnetic moment (μB/atom) = 0.00
- Fermi-level density of states (states/eV per cell) = 0.0

4.
Entry from Alexandria via LeMat-Bulk: a relaxed structure of SrPu4 (PBE-GGA).

Cell lengths 5.555, 5.555, 5.555 Å; angles 90.00, 90.00, 90.00 degrees
Fractional positions:
Sr  0.000  0.000  0.000
Pu  0.000  0.000  0.500
Pu  0.000  0.500  0.000
Pu  0.500  0.000  0.000
Pu  0.500  0.500  0.500

Computed properties:
- DFT total energy (eV/atom) = -10.329
- crystal system = cubic
- total magnetic moment (μB/atom) = 4.67
- energy of formation (eV/atom) = 1.473
- Fermi-level density of states (states/eV per cell) = 37.5

5.
Entry from Alexandria via LeMat-Bulk: a relaxed structure of NdEr7Tl2 (PBE-GGA).

Cell lengths 8.871, 8.871, 5.439 Å; angles 90.00, 90.00, 118.22 degrees
Fractional positions:
Nd  0.000  0.000  0.000
Er  0.059  0.303  0.500
Er  0.232  0.768  0.000
Er  0.303  0.059  0.500
Er  0.500  0.500  0.500
Er  0.697  0.941  0.500
Er  0.768  0.232  0.000
Er  0.941  0.697  0.500
Tl  0.305  0.695  0.500
Tl  0.695  0.305  0.500

Computed properties:
- DFT total energy (eV/atom) = -3.778
- crystal system = orthorhombic
- total magnetic moment (μB/atom) = 0.13
- energy of formation (eV/atom) = 0.366
- Fermi-level density of states (states/eV per cell) = 19.6

6.
Entry from Alexandria via LeMat-Bulk: a relaxed structure of AsOsCl2 (PBE-GGA).

Cell lengths 12.653, 12.653, 12.653 Å; angles 13.14, 13.14, 13.14 degrees
Fractional positions:
As  0.000  0.000  0.000
Os  0.500  0.500  0.500
Cl  0.441  0.441  0.441
Cl  0.559  0.559  0.559

Computed properties:
- DFT total energy (eV/atom) = -4.521
- crystal system = trigonal
- total magnetic moment (μB/atom) = 0.00
- Fermi-level density of states (states/eV per cell) = 2.6

7.
Entry from Alexandria via LeMat-Bulk: a relaxed structure of ZnCd8Hg4 (PBE-GGA).

Cell lengths 6.641, 6.649, 7.278 Å; angles 89.52, 88.24, 88.13 degrees
Fractional positions:
Zn  0.000  0.000  0.000
Cd  0.253  0.245  0.735
Cd  0.253  0.259  0.264
Cd  0.254  0.739  0.249
Cd  0.257  0.750  0.751
Cd  0.743  0.250  0.249
Cd  0.746  0.261  0.751
Cd  0.747  0.741  0.736
Cd  0.747  0.755  0.265
Hg  0.000  0.000  0.500
Hg  0.000  0.500  0.000
Hg  0.500  0.000  0.000
Hg  0.500  0.500  0.500

Computed properties:
- DFT total energy (eV/atom) = -0.702
- crystal system = triclinic
- total magnetic moment (μB/atom) = 0.00
- energy of formation (eV/atom) = 0.052
- Fermi-level density of states (states/eV per cell) = 3.2

8.
Entry from Alexandria via LeMat-Bulk: a relaxed structure of AcHgAs2Au4 (PBE-GGA).

Cell lengths 4.980, 4.980, 7.532 Å; angles 90.00, 90.00, 90.00 degrees
Fractional positions:
Ac  0.000  0.000  0.000
Hg  0.000  0.000  0.500
As  0.500  0.500  0.175
As  0.500  0.500  0.825
Au  0.000  0.500  0.295
Au  0.000  0.500  0.705
Au  0.500  0.000  0.295
Au  0.500  0.000  0.705

Computed properties:
- DFT total energy (eV/atom) = -3.655
- crystal system = tetragonal
- total magnetic moment (μB/atom) = 0.00
- energy of formation (eV/atom) = -0.303
- Fermi-level density of states (states/eV per cell) = 2.6

9.
Entry from Alexandria via LeMat-Bulk: a relaxed structure of PmEu2Cl (PBE-GGA).

Cell lengths 10.808, 10.808, 10.808 Å; angles 20.34, 20.34, 20.34 degrees
Fractional positions:
Pm  0.000  0.000  0.000
Eu  0.236  0.236  0.236
Eu  0.764  0.764  0.764
Cl  0.500  0.500  0.500

Computed properties:
- DFT total energy (eV/atom) = -7.580
- crystal system = trigonal
- total magnetic moment (μB/atom) = 3.77
- Fermi-level density of states (states/eV per cell) = 11.1

10.
Entry from Alexandria via LeMat-Bulk: a relaxed structure of KNa3Se4O12 (PBE-GGA).

Cell lengths 7.496, 7.496, 7.496 Å; angles 105.24, 105.24, 105.24 degrees
Fractional positions:
K  0.000  0.000  0.000
Na  0.000  0.550  0.450
Na  0.450  0.000  0.550
Na  0.550  0.450  0.000
Se  0.047  0.500  0.953
Se  0.500  0.500  0.500
Se  0.500  0.953  0.047
Se  0.953  0.047  0.500
O  0.021  0.630  0.794
O  0.096  0.904  0.500
O  0.206  0.370  0.979
O  0.356  0.644  0.500
O  0.370  0.979  0.206
O  0.500  0.096  0.904
O  0.500  0.356  0.644
O  0.630  0.794  0.021
O  0.644  0.500  0.356
O  0.794  0.021  0.630
O  0.904  0.500  0.096
O  0.979  0.206  0.370

Computed properties:
- DFT total energy (eV/atom) = -4.709
- crystal system = trigonal
- total magnetic moment (μB/atom) = 0.17
- Fermi-level density of states (states/eV per cell) = 4.9

11.
Entry from Alexandria via LeMat-Bulk: a relaxed structure of Tb3Sm6Tl (PBE-GGA).

Cell lengths 12.333, 3.608, 14.829 Å; angles 90.00, 93.84, 90.00 degrees
Fractional positions:
Tb  0.053  0.250  0.304
Tb  0.100  0.250  0.083
Tb  0.426  0.250  0.819
Tb  0.574  0.750  0.181
Tb  0.900  0.750  0.917
Tb  0.947  0.750  0.696
Sm  0.113  0.750  0.504
Sm  0.191  0.750  0.893
Sm  0.205  0.250  0.689
Sm  0.302  0.750  0.250
Sm  0.380  0.250  0.046
Sm  0.436  0.750  0.610
Sm  0.564  0.250  0.390
Sm  0.620  0.750  0.954
Sm  0.698  0.250  0.750
Sm  0.795  0.750  0.311
Sm  0.809  0.250  0.107
Sm  0.887  0.250  0.496
Tl  0.312  0.250  0.441
Tl  0.688  0.750  0.559

Computed properties:
- DFT total energy (eV/atom) = -4.441
- crystal system = monoclinic
- total magnetic moment (μB/atom) = 0.00
- energy of formation (eV/atom) = 0.016
- Fermi-level density of states (states/eV per cell) = 28.0

12.
Entry from Alexandria via LeMat-Bulk: a relaxed structure of Na2CrRh (PBE-GGA).

Cell lengths 4.782, 4.782, 4.782 Å; angles 60.00, 60.00, 60.00 degrees
Fractional positions:
Na  0.250  0.250  0.250
Na  0.750  0.750  0.750
Cr  0.000  0.000  0.000
Rh  0.500  0.500  0.500

Computed properties:
- DFT total energy (eV/atom) = -4.101
- crystal system = cubic
- total magnetic moment (μB/atom) = 1.17
- energy of formation (eV/atom) = 0.802
- Fermi-level density of states (states/eV per cell) = 2.4

What did the second record say?
Entry from Alexandria via LeMat-Bulk: a relaxed structure of PmLuCdCo (PBE-GGA).

Cell lengths 5.049, 5.049, 5.049 Å; angles 60.00, 60.00, 60.00 degrees
Fractional positions:
Pm  0.000  0.000  0.000
Lu  0.500  0.500  0.500
Cd  0.250  0.250  0.250
Co  0.750  0.750  0.750

Computed properties:
- DFT total energy (eV/atom) = -4.436
- crystal system = cubic
- total magnetic moment (μB/atom) = 0.11
- energy of formation (eV/atom) = -0.113
- Fermi-level density of states (states/eV per cell) = 2.2

Question: What is the Fermi-level density of states in the fourth record?
Answer: 37.5 states/eV per cell

Question: total magnetic moment of number 3 (K2BSb)?
Answer: 0.00 μB/atom